1.
# RbNa2IrOs SCAN single point on PBEsol structure
data_RbNa2IrOs
_chemical_formula_sum 'Rb1 Na2 Ir1 Os1'
_cell_length_a 4.700
_cell_length_b 5.512
_cell_length_c 5.512
_cell_angle_alpha 90.00
_cell_angle_beta 90.00
_cell_angle_gamma 90.00
_space_group_name_H-M_alt 'P 1'
_space_group_IT_number 1
loop_
_space_group_symop_operation_xyz
'x,y,z'
loop_
_atom_site_label
_atom_site_fract_x
_atom_site_fract_y
_atom_site_fract_z
_atom_site_occupancy
Ir1 0.000 0.000 0.000 1
Na1 0.000 0.000 0.500 1
Os1 0.500 0.000 0.000 1
Na2 0.000 0.500 0.000 1
Rb1 0.500 0.500 0.500 1
# E_form: 0.719 eV per atom
# DOS at the Fermi energy: 3.805 states/eV/f.u.
# SG: P4/mmm, No. 123
# size of the total moment: 1.3 μB per formula unit

***

2.
# Na2PIr2 SCAN single point on PBEsol structure
data_Na2PIr2
_chemical_formula_sum 'Na4 P2 Ir4'
_cell_length_a 5.032
_cell_length_b 5.915
_cell_length_c 5.915
_cell_angle_alpha 90.00
_cell_angle_beta 90.00
_cell_angle_gamma 90.00
_space_group_name_H-M_alt 'P 1'
_space_group_IT_number 1
loop_
_space_group_symop_operation_xyz
'x,y,z'
loop_
_atom_site_label
_atom_site_fract_x
_atom_site_fract_y
_atom_site_fract_z
_atom_site_occupancy
Na1 0.500 0.169 0.669 1
Na2 0.500 0.831 0.331 1
Ir1 0.000 0.151 0.349 1
P1 0.000 0.000 0.000 1
Ir2 0.000 0.651 0.151 1
Na3 0.500 0.331 0.169 1
P2 0.000 0.500 0.500 1
Na4 0.500 0.669 0.831 1
Ir3 0.000 0.849 0.651 1
Ir4 0.000 0.349 0.849 1
# E_form: -0.341 eV per atom
# DOS at the Fermi energy: 1.014 states/eV/f.u.
# SG: P4/mbm, No. 127
# size of the total moment: 0.0 μB per formula unit

***

3.
# NaP2IrS SCAN single point on PBEsol structure
data_NaP2IrS
_chemical_formula_sum 'Na1 P2 Ir1 S1'
_cell_length_a 4.442
_cell_length_b 4.442
_cell_length_c 5.414
_cell_angle_alpha 90.00
_cell_angle_beta 90.00
_cell_angle_gamma 90.00
_space_group_name_H-M_alt 'P 1'
_space_group_IT_number 1
loop_
_space_group_symop_operation_xyz
'x,y,z'
loop_
_atom_site_label
_atom_site_fract_x
_atom_site_fract_y
_atom_site_fract_z
_atom_site_occupancy
P1 0.500 0.000 0.000 1
Na1 0.500 0.500 0.500 1
P2 0.000 0.500 0.000 1
Ir1 0.000 0.000 0.000 1
S1 0.000 0.000 0.500 1
# DOS at the Fermi energy: 2.534 states/eV/f.u.
# SG: P4/mmm, No. 123
# total DFT energy (no corrections): -104.83 eV for the cell shown
# size of the total moment: 0.0 μB per formula unit

***

4.
# NaTcP2Ir SCAN single point on PBEsol structure
data_NaTcP2Ir
_chemical_formula_sum 'Na1 Tc1 P2 Ir1'
_cell_length_a 4.460
_cell_length_b 4.482
_cell_length_c 4.482
_cell_angle_alpha 90.00
_cell_angle_beta 90.00
_cell_angle_gamma 90.00
_space_group_name_H-M_alt 'P 1'
_space_group_IT_number 1
loop_
_space_group_symop_operation_xyz
'x,y,z'
loop_
_atom_site_label
_atom_site_fract_x
_atom_site_fract_y
_atom_site_fract_z
_atom_site_occupancy
Tc1 0.500 0.500 0.500 1
Ir1 0.500 0.000 0.000 1
P1 0.000 0.500 0.000 1
P2 0.000 0.000 0.500 1
Na1 0.000 0.000 0.000 1
# E_form: 2.206 eV per atom
# DOS at the Fermi energy: 3.872 states/eV/f.u.
# SG: P4/mmm, No. 123
# size of the total moment: 3.6 μB per formula unit

***

5.
# RbNa2IrPb SCAN single point on PBEsol structure
data_RbNa2IrPb
_chemical_formula_sum 'Rb1 Na2 Ir1 Pb1'
_cell_length_a 5.086
_cell_length_b 5.814
_cell_length_c 5.814
_cell_angle_alpha 90.00
_cell_angle_beta 90.00
_cell_angle_gamma 90.00
_space_group_name_H-M_alt 'P 1'
_space_group_IT_number 1
loop_
_space_group_symop_operation_xyz
'x,y,z'
loop_
_atom_site_label
_atom_site_fract_x
_atom_site_fract_y
_atom_site_fract_z
_atom_site_occupancy
Rb1 0.500 0.500 0.500 1
Pb1 0.000 0.000 0.000 1
Na1 0.000 0.000 0.500 1
Ir1 0.500 0.000 0.000 1
Na2 0.000 0.500 0.000 1
# E_form: 0.322 eV per atom
# DOS at the Fermi energy: 2.225 states/eV/f.u.
# SG: P4/mmm, No. 123
# size of the total moment: 0.0 μB per formula unit

***

6.
# Na2ZrIrPb SCAN single point on PBEsol structure
data_Na2ZrIrPb
_chemical_formula_sum 'Na2 Zr1 Ir1 Pb1'
_cell_length_a 5.049
_cell_length_b 5.049
_cell_length_c 5.129
_cell_angle_alpha 90.00
_cell_angle_beta 90.00
_cell_angle_gamma 90.00
_space_group_name_H-M_alt 'P 1'
_space_group_IT_number 1
loop_
_space_group_symop_operation_xyz
'x,y,z'
loop_
_atom_site_label
_atom_site_fract_x
_atom_site_fract_y
_atom_site_fract_z
_atom_site_occupancy
Zr1 0.500 0.500 0.500 1
Pb1 0.000 0.000 0.500 1
Ir1 0.000 0.000 0.000 1
Na1 0.500 0.000 0.000 1
Na2 0.000 0.500 0.000 1
# E_form: 0.859 eV per atom
# DOS at the Fermi energy: 4.364 states/eV/f.u.
# SG: P4/mmm, No. 123
# size of the total moment: 2.2 μB per formula unit

***

7.
# NaIr3Pd SCAN single point on PBEsol structure
data_NaIr3Pd
_chemical_formula_sum 'Na1 Ir3 Pd1'
_cell_length_a 4.373
_cell_length_b 4.373
_cell_length_c 4.373
_cell_angle_alpha 90.00
_cell_angle_beta 90.00
_cell_angle_gamma 90.00
_space_group_name_H-M_alt 'P 1'
_space_group_IT_number 1
loop_
_space_group_symop_operation_xyz
'x,y,z'
loop_
_atom_site_label
_atom_site_fract_x
_atom_site_fract_y
_atom_site_fract_z
_atom_site_occupancy
Ir1 0.000 0.000 0.500 1
Na1 0.000 0.000 0.000 1
Pd1 0.500 0.500 0.500 1
Ir2 0.000 0.500 0.000 1
Ir3 0.500 0.000 0.000 1
# E_form: 2.550 eV per atom
# DOS at the Fermi energy: 4.259 states/eV/f.u.
# SG: Pm-3m, No. 221
# size of the total moment: 1.8 μB per formula unit

***

8.
# NaIrPd2 SCAN single point on PBEsol structure
data_NaIrPd2
_chemical_formula_sum 'Na2 Ir2 Pd4'
_cell_length_a 3.896
_cell_length_b 3.896
_cell_length_c 9.205
_cell_angle_alpha 102.22
_cell_angle_beta 102.22
_cell_angle_gamma 90.00
_space_group_name_H-M_alt 'P 1'
_space_group_IT_number 1
loop_
_space_group_symop_operation_xyz
'x,y,z'
loop_
_atom_site_label
_atom_site_fract_x
_atom_site_fract_y
_atom_site_fract_z
_atom_site_occupancy
Na1 0.500 0.500 0.000 1
Pd1 0.625 0.641 0.750 1
Pd2 0.125 0.109 0.750 1
Pd3 0.891 0.375 0.250 1
Pd4 0.359 0.875 0.250 1
Ir1 0.000 0.000 0.000 1
Ir2 0.250 0.750 0.500 1
Na2 0.750 0.250 0.500 1
# E_form: 0.673 eV per atom
# DOS at the Fermi energy: 3.462 states/eV/f.u.
# SG: I-42d, No. 122
# size of the total moment: 0.3 μB per formula unit

***

9.
# NaSiIr2Pd SCAN single point on PBEsol structure
data_NaSiIr2Pd
_chemical_formula_sum 'Na1 Si1 Ir2 Pd1'
_cell_length_a 4.321
_cell_length_b 4.429
_cell_length_c 4.429
_cell_angle_alpha 90.00
_cell_angle_beta 90.00
_cell_angle_gamma 90.00
_space_group_name_H-M_alt 'P 1'
_space_group_IT_number 1
loop_
_space_group_symop_operation_xyz
'x,y,z'
loop_
_atom_site_label
_atom_site_fract_x
_atom_site_fract_y
_atom_site_fract_z
_atom_site_occupancy
Si1 0.500 0.000 0.000 1
Pd1 0.500 0.500 0.500 1
Ir1 0.000 0.500 0.000 1
Ir2 0.000 0.000 0.500 1
Na1 0.000 0.000 0.000 1
# DOS at the Fermi energy: 3.805 states/eV/f.u.
# SG: P4/mmm, No. 123
# total DFT energy (no corrections): -177.97 eV for the cell shown
# size of the total moment: 0.0 μB per formula unit

***

10.
# NaIrPt2 SCAN single point on PBEsol structure
data_NaIrPt2
_chemical_formula_sum 'Na1 Ir1 Pt2'
_cell_length_a 4.419
_cell_length_b 4.419
_cell_length_c 4.419
_cell_angle_alpha 60.00
_cell_angle_beta 60.00
_cell_angle_gamma 60.00
_space_group_name_H-M_alt 'P 1'
_space_group_IT_number 1
loop_
_space_group_symop_operation_xyz
'x,y,z'
loop_
_atom_site_label
_atom_site_fract_x
_atom_site_fract_y
_atom_site_fract_z
_atom_site_occupancy
Pt1 0.250 0.250 0.250 1
Ir1 0.500 0.500 0.500 1
Pt2 0.750 0.750 0.750 1
Na1 0.000 0.000 0.000 1
# E_form: 0.320 eV per atom
# DOS at the Fermi energy: 4.544 states/eV/f.u.
# SG: Fm-3m, No. 225
# size of the total moment: 0.0 μB per formula unit

***

11.
# NaIrPt2 SCAN single point on PBEsol structure
data_NaIrPt2
_chemical_formula_sum 'Na2 Ir2 Pt4'
_cell_length_a 4.838
_cell_length_b 4.838
_cell_length_c 9.037
_cell_angle_alpha 105.53
_cell_angle_beta 105.53
_cell_angle_gamma 90.00
_space_group_name_H-M_alt 'P 1'
_space_group_IT_number 1
loop_
_space_group_symop_operation_xyz
'x,y,z'
loop_
_atom_site_label
_atom_site_fract_x
_atom_site_fract_y
_atom_site_fract_z
_atom_site_occupancy
Ir1 0.000 0.000 0.000 1
Pt1 0.625 0.803 0.750 1
Pt2 0.125 0.947 0.750 1
Na1 0.500 0.500 0.000 1
Pt3 0.197 0.875 0.250 1
Na2 0.750 0.250 0.500 1
Ir2 0.250 0.750 0.500 1
Pt4 0.053 0.375 0.250 1
# E_form: 0.479 eV per atom
# DOS at the Fermi energy: 3.483 states/eV/f.u.
# SG: I-42d, No. 122
# size of the total moment: 0.0 μB per formula unit

***

12.
# Rb3NaIr SCAN single point on PBEsol structure
data_Rb3NaIr
_chemical_formula_sum 'Rb3 Na1 Ir1'
_cell_length_a 6.437
_cell_length_b 6.437
_cell_length_c 6.437
_cell_angle_alpha 90.00
_cell_angle_beta 90.00
_cell_angle_gamma 90.00
_space_group_name_H-M_alt 'P 1'
_space_group_IT_number 1
loop_
_space_group_symop_operation_xyz
'x,y,z'
loop_
_atom_site_label
_atom_site_fract_x
_atom_site_fract_y
_atom_site_fract_z
_atom_site_occupancy
Na1 0.000 0.000 0.000 1
Rb1 0.000 0.000 0.500 1
Ir1 0.500 0.500 0.500 1
Rb2 0.500 0.000 0.000 1
Rb3 0.000 0.500 0.000 1
# E_form: 1.226 eV per atom
# DOS at the Fermi energy: 6.169 states/eV/f.u.
# SG: Pm-3m, No. 221
# size of the total moment: 1.3 μB per formula unit